Entry 1:
VASP calculation (PBE-GGA) on a relaxed structure of CsAcSb2.

Its energy above the most stable polymorph in this dataset is 359 meV per atom. The calculation puts the formation energy from raw total energies at -378.3 meV/atom. The total energy is -3.680 eV per atom.

It has space group Fm-3m (No. 225), with a = 8.468 Å, b = 8.468 Å, c = 8.468 Å, α = 90.00°, β = 90.00° and γ = 90.00°. The inequivalent atoms are Cs at (0.000, 0.000, 0.000), Ac at (0.000, 0.000, 0.500) and Sb at (0.250, 0.250, 0.250).

Entry 2:
VASP calculation (PBE-GGA) on a relaxed structure of CsAcSb2.

Its energy above the most stable polymorph in this dataset is 320 meV per atom. The calculation puts the formation energy from raw total energies at -417.4 meV/atom. The total energy is -3.719 eV per atom.

It has space group P4/mmm (No. 123), with a = 5.620 Å, b = 5.620 Å, c = 4.684 Å, α = 90.00°, β = 90.00° and γ = 90.00°. The inequivalent atoms are Cs at (0.000, 0.000, 0.000), Ac at (0.500, 0.500, 0.000) and Sb at (0.000, 0.500, 0.500).

Entry 3:
VASP calculation (PBE-GGA) on a relaxed structure of CsAcSb2.

Its energy above the most stable polymorph in this dataset is 0 meV per atom. The calculation puts the formation energy from raw total energies at -737.8 meV/atom. The total energy is -4.039 eV per atom.

It has space group P4/mmm (No. 123), with a = 4.501 Å, b = 4.501 Å, c = 8.106 Å, α = 90.00°, β = 90.00° and γ = 90.00°. The inequivalent atoms are Cs at (0.000, 0.000, 0.000), Ac at (0.000, 0.000, 0.500) and Sb at (0.500, 0.500, 0.320).

Entry 4:
VASP calculation (PBE-GGA) on a relaxed structure of CsAc2Sb.

The calculation puts the formation energy from raw total energies at -112.6 meV/atom. The total energy is -3.411 eV per atom.

It has space group P4/mmm (No. 123), with a = 5.576 Å, b = 5.576 Å, c = 5.027 Å, α = 90.00°, β = 90.00° and γ = 90.00°. The inequivalent atoms are Cs at (0.000, 0.000, 0.000), Ac at (0.000, 0.500, 0.500) and Sb at (0.500, 0.500, 0.000).

Entry 5:
VASP calculation (PBE-GGA) on a relaxed structure of CsAc2Sc.

The total energy is -3.539 eV per atom.

It has space group R-3m (No. 166, hexagonal axes), with a = 3.9064 Å, b = 3.9064 Å, c = 41.0996 Å, α = 90.00°, β = 90.00° and γ = 120.00°. The inequivalent atoms are Cs at (0.0000, 0.0000, 0.0000), Ac at (0.0000, 0.0000, 0.1000) and Sc at (0.0000, 0.0000, 0.5000).

Entry 6:
VASP calculation (PBE-GGA) on a relaxed structure of Cs4Ac3ScSe8.

The calculation puts the formation energy from raw total energies at -1713.6 meV/atom. The total energy is -4.835 eV per atom.

It has space group R-3m (No. 166, hexagonal axes), with a = 9.0096 Å, b = 9.0096 Å, c = 25.2585 Å, α = 90.00°, β = 90.00° and γ = 120.00°. The inequivalent atoms are Cs at (0.0000, 0.0000, 0.0000), Cs at (0.0000, 0.5000, 0.0000), Ac at (0.0000, 0.5000, 0.5000), Sc at (0.0000, 0.0000, 0.5000), Se at (0.0000, 0.0000, 0.2337) and Se at (0.0269, 0.5134, 0.2290).

Entry 7:
VASP calculation (PBE-GGA) on a relaxed structure of Cs3Ac3ScTe8.

The calculation puts the formation energy from raw total energies at -1334.1 meV/atom. The total energy is -4.424 eV per atom.

It has space group R-3m (No. 166, hexagonal axes), with a = 9.4762 Å, b = 9.4762 Å, c = 27.5528 Å, α = 90.00°, β = 90.00° and γ = 120.00°. The inequivalent atoms are Cs at (0.0000, 0.5000, 0.0000), Ac at (0.0000, 0.5000, 0.5000), Sc at (0.0000, 0.0000, 0.5000), Te at (0.0000, 0.0000, 0.2352) and Te at (0.0309, 0.5154, 0.2287).

Entry 8:
VASP calculation (PBE-GGA) on a relaxed structure of Cs3AcSc2Te6.

The calculation puts the formation energy from raw total energies at -1301.3 meV/atom. The total energy is -4.483 eV per atom.

It has space group C2/m (No. 12), with a = 7.894 Å, b = 13.670 Å, c = 9.291 Å, α = 90.00°, β = 106.60° and γ = 90.00°. The inequivalent atoms are Cs at (0.000, 0.000, 0.000), Cs at (0.000, 0.341, 0.000), Ac at (0.000, 0.500, 0.500), Sc at (0.000, 0.167, 0.500), Te at (0.198, 0.000, 0.684) and Te at (0.244, 0.318, 0.687).

- What is the formula in the eighth record?
  Cs3AcSc2Te6